1.
{
  "formula": "ScIn2Bi",
  "functional": "PBE",
  "state": "relaxed",
  "cell": [[-1.797, -0.030, -2.871], [-3.301, -0.756, 0.076], [-4.274, 11.129, 0.561]],
  "species": ["In", "In", "Bi", "Sc"],
  "fractional_positions": [[0.085, 0.085, 0.744], [0.915, 0.915, 0.256], [0.500, 0.500, 0.500], [0.000, 0.000, 0.000]]
}



2.
{
  "formula": "VCrCuMo2",
  "functional": "PBE",
  "state": "relaxed",
  "cell": [[-0.751, 0.674, -4.369], [2.406, -3.313, -0.925], [-3.597, -2.670, 0.206]],
  "species": ["Mo", "Mo", "Cu", "V", "Cr"],
  "fractional_positions": [[0.500, 0.000, 0.000], [0.000, 0.000, 0.500], [0.500, 0.500, 0.500], [0.000, 0.500, 0.000], [0.000, 0.000, 0.000]]
}



3.
{
  "formula": "ZrPbBr4",
  "functional": "PBE",
  "state": "relaxed",
  "cell": [[0.000, 4.424, 4.424], [4.424, 0.000, 4.424], [4.424, 4.424, 0.000]],
  "species": ["Br", "Br", "Br", "Br", "Zr", "Pb"],
  "fractional_positions": [[0.374, 0.374, 0.374], [0.878, 0.374, 0.374], [0.374, 0.374, 0.878], [0.374, 0.878, 0.374], [0.000, 0.000, 0.000], [0.750, 0.750, 0.750]]
}



4.
{
  "formula": "Ca2AsPS",
  "functional": "PBE",
  "state": "relaxed",
  "cell": [[-0.040, -1.030, -5.448], [0.116, -4.216, 0.796], [-5.543, -0.140, 0.067]],
  "species": ["S", "P", "Ca", "Ca", "As"],
  "fractional_positions": [[0.000, 0.500, 0.000], [0.000, 0.000, 0.000], [0.500, 0.000, 0.000], [0.000, 0.000, 0.500], [0.500, 0.500, 0.500]]
}



5.
{
  "formula": "V2IrS2",
  "functional": "PBE",
  "state": "relaxed",
  "cell": [[-0.199, -3.189, 3.261], [4.378, 0.782, 1.031], [1.072, 1.320, 4.551]],
  "species": ["Ir", "S", "S", "V", "V"],
  "fractional_positions": [[0.000, 0.000, 0.000], [0.685, 0.685, 0.630], [0.315, 0.315, 0.370], [0.750, 0.250, 0.500], [0.250, 0.750, 0.500]]
}



6.
{
  "formula": "Cs4K3Rb3Au2",
  "functional": "PBE",
  "state": "relaxed",
  "cell": [[7.194, 0.000, 0.000], [0.000, 6.801, 0.000], [-3.597, -3.401, 18.740]],
  "species": ["Au", "Au", "Cs", "Cs", "Cs", "Cs", "K", "K", "K", "Rb", "Rb", "Rb"],
  "fractional_positions": [[0.094, 0.091, 0.182], [0.912, 0.909, 0.818], [0.593, 0.090, 0.181], [0.188, 0.187, 0.373], [0.815, 0.813, 0.627], [0.412, 0.910, 0.819], [0.092, 0.590, 0.179], [0.912, 0.410, 0.821], [0.004, 0.000, 0.000], [0.688, 0.687, 0.374], [0.504, 0.500, 0.000], [0.314, 0.313, 0.626]]
}



7.
{
  "formula": "IrRhW2",
  "functional": "PBE",
  "state": "relaxed",
  "cell": [[3.886, 0.000, 0.000], [0.000, 3.886, 0.000], [1.943, 1.943, 8.884]],
  "species": ["W", "W", "W", "W", "Rh", "Rh", "Ir", "Ir"],
  "fractional_positions": [[0.375, 0.374, 0.750], [0.626, 0.125, 0.250], [0.124, 0.625, 0.250], [0.875, 0.876, 0.750], [0.500, 0.500, 0.000], [0.250, 0.750, 0.500], [0.000, 0.000, 0.000], [0.750, 0.250, 0.500]]
}



8.
{
  "formula": "Ba2ErPt2O6",
  "functional": "PBE",
  "state": "relaxed",
  "cell": [[6.199, 0.000, 0.000], [3.099, 5.368, 0.000], [3.099, 1.789, 5.901]],
  "species": ["Pt", "Pt", "O", "O", "O", "O", "O", "O", "Er", "Ba", "Ba"],
  "fractional_positions": [[0.587, 0.587, 0.239], [0.413, 0.413, 0.761], [0.787, 0.238, 0.738], [0.762, 0.213, 0.262], [0.762, 0.762, 0.262], [0.238, 0.787, 0.738], [0.238, 0.238, 0.738], [0.213, 0.762, 0.262], [0.000, 0.000, 0.000], [0.784, 0.784, 0.648], [0.216, 0.216, 0.352]]
}



9.
{
  "formula": "Mg5CdHg3",
  "functional": "PBE",
  "state": "relaxed",
  "cell": [[6.131, 0.000, 0.000], [0.000, 8.548, 0.000], [0.000, -4.274, 7.398]],
  "species": ["Mg", "Mg", "Mg", "Mg", "Mg", "Mg", "Mg", "Mg", "Mg", "Mg", "Hg", "Hg", "Hg", "Hg", "Hg", "Hg", "Cd", "Cd"],
  "fractional_positions": [[0.750, 0.310, 0.000], [0.250, 0.310, 0.310], [0.500, 0.667, 0.333], [0.000, 0.333, 0.667], [0.250, 0.000, 0.690], [0.000, 0.667, 0.333], [0.500, 0.333, 0.667], [0.750, 0.690, 0.690], [0.750, 0.000, 0.310], [0.250, 0.690, 0.000], [0.750, 0.640, 0.000], [0.750, 0.360, 0.360], [0.250, 0.360, 0.000], [0.250, 0.640, 0.640], [0.750, 0.000, 0.640], [0.250, 0.000, 0.360], [0.000, 0.000, 0.000], [0.500, 0.000, 0.000]]
}



10.
{
  "formula": "Mg3H2Ir",
  "functional": "PBE",
  "state": "relaxed",
  "cell": [[4.591, -0.002, -2.141], [3.376, 4.378, 0.000], [-0.001, 0.000, 4.284]],
  "species": ["H", "H", "Mg", "Mg", "Mg", "Ir"],
  "fractional_positions": [[0.905, 0.978, 0.849], [0.900, 0.591, 0.846], [0.300, 0.886, 0.546], [0.497, 0.291, 0.144], [0.892, 0.569, 0.342], [0.905, 0.280, 0.848]]
}



11.
{
  "formula": "ErTm2S",
  "functional": "PBE",
  "state": "relaxed",
  "cell": [[-3.553, 0.398, -0.239], [-1.705, -0.908, -3.017], [-3.019, -9.391, 2.404]],
  "species": ["Tm", "Tm", "Er", "S"],
  "fractional_positions": [[0.889, 0.889, 0.334], [0.111, 0.111, 0.666], [0.000, 0.000, 0.000], [0.500, 0.500, 0.500]]
}



12.
{
  "formula": "PuNpU2Sb4",
  "functional": "PBE",
  "state": "relaxed",
  "cell": [[-2.524, 2.873, 2.062], [-6.125, -3.858, -2.124], [2.448, -2.750, 6.829]],
  "species": ["U", "U", "Pu", "Sb", "Sb", "Sb", "Sb", "Np"],
  "fractional_positions": [[0.000, 0.500, 0.500], [0.500, 0.000, 0.500], [0.000, 0.000, 0.000], [0.000, 0.750, 0.252], [0.500, 0.252, 0.253], [0.000, 0.250, 0.748], [0.500, 0.748, 0.747], [0.500, 0.500, 0.000]]
}



Energy readings, ordered: -3.74 -7.70 -2.68 -4.09 -7.29 -1.44 -9.96 -6.26 -1.27 -3.65 -5.10 -8.58 eV per atom